Record 1
VASP calculation (PBE) on a geometry-optimized CaDyPdRu structure.

**Formation energy from the elements**: -0.360 eV/atom

Unit cell a=6.8807 b=6.8807 c=6.8807 alpha=90.00 beta=90.00 gamma=90.00
Space group F-43m (No. 216)
Unique sites:
Ca  0.0000  0.0000  0.0000 [4 per cell]
Dy  0.0000  0.0000  0.5000 [4 per cell]
Pd  0.2500  0.2500  0.2500 [4 per cell]
Ru  0.2500  0.2500  0.7500 [4 per cell]

---

Record 2
VASP calculation (PBE) on a geometry-optimized ZnAs2Ru structure.

**Formation energy from the elements**: 0.004 eV/atom

Unit cell a=3.1974 b=3.1974 c=22.8277 alpha=90.00 beta=90.00 gamma=120.00
Space group R-3m (No. 166, hexagonal axes)
Unique sites:
Zn  0.0000  0.0000  0.0000 [3 per cell]
As  0.0000  0.0000  0.2436 [6 per cell]
Ru  0.0000  0.0000  0.5000 [3 per cell]

---

Record 3
VASP calculation (PBE) on a geometry-optimized Pr12CdPd6 structure.

**Formation energy from the elements**: -0.392 eV/atom

Unit cell a=14.7295 b=14.7295 c=9.2979 alpha=90.00 beta=90.00 gamma=120.00
Space group R-3 (No. 148, hexagonal axes)
Unique sites:
Pr  0.0393  0.2527  0.4301 [18 per cell]
Pr  0.0587  0.1790  0.8266 [18 per cell]
Cd  0.0000  0.0000  0.5000 [3 per cell]
Pd  0.0716  0.4985  0.7832 [18 per cell]

---

Record 4
VASP calculation (PBE) on a geometry-optimized RbDyCuBr6 structure.

**Formation energy (no corrections)**: -1.31 eV/atom

Unit cell a=6.8575 b=7.0018 c=7.6969 alpha=92.55 beta=95.34 gamma=113.24
Space group P1 (No. 1)
Unique sites:
Rb  0.0000  0.0000  0.0000 [1 per cell]
Dy  0.3737  0.6655  0.5108 [1 per cell]
Cu  0.7411  0.3404  0.4700 [1 per cell]
Br  0.0326  0.6091  0.2643 [1 per cell]
Br  0.0522  0.3312  0.6546 [1 per cell]
Br  0.4189  0.9451  0.7813 [1 per cell]
Br  0.4509  0.3750  0.2779 [1 per cell]
Br  0.6549  0.9855  0.3267 [1 per cell]
Br  0.6851  0.5614  0.7049 [1 per cell]

---

Record 5
VASP calculation (PBE) on a geometry-optimized Rb2TlSe3 structure.

**Formation energy (no corrections)**: -0.68 eV/atom

Unit cell a=13.9937 b=10.2623 c=6.0082 alpha=90.00 beta=90.85 gamma=90.00
Space group C2/c (No. 15)
Unique sites:
Rb  0.1465  0.1662  0.2495 [8 per cell]
Tl  0.0000  0.3807  0.7500 [4 per cell]
Se  0.0000  0.1268  0.7500 [4 per cell]
Se  0.1528  0.4979  0.4841 [8 per cell]

---

Record 6
VASP calculation (PBE) on a geometry-optimized GaSb2PRh structure.

**Formation energy (no corrections)**: 0.74 eV/atom

Unit cell a=5.0713 b=5.0713 c=4.5530 alpha=90.00 beta=90.00 gamma=90.00
Space group P4/mmm (No. 123)
Unique sites:
Ga  0.0000  0.0000  0.0000 [1 per cell]
Sb  0.0000  0.5000  0.5000 [2 per cell]
P  0.0000  0.0000  0.5000 [1 per cell]
Rh  0.5000  0.5000  0.0000 [1 per cell]

---

Record 7
VASP calculation (PBE) on a geometry-optimized Li7Mg3In2 structure.

**Formation energy from the elements**: -0.093 eV/atom
**Energy above the most stable polymorph in this dataset**: 0.0 meV per atom

Unit cell a=4.7429 b=3.2231 c=16.3618 alpha=90.00 beta=97.56 gamma=90.00
Space group P2/m (No. 10)
Unique sites:
Li  0.0000  0.0000  0.0000 [1 per cell]
Li  0.0988  0.5000  0.1776 [2 per cell]
Li  0.2701  0.5000  0.5424 [2 per cell]
Li  0.4166  0.0000  0.8570 [2 per cell]
Mg  0.1859  0.0000  0.3666 [2 per cell]
Mg  0.5000  0.5000  0.0000 [1 per cell]
In  0.3517  0.5000  0.7146 [2 per cell]

---

Record 8
VASP calculation (PBE) on a geometry-optimized Er5Sb4S structure.

**Energy above the most stable polymorph in this dataset**: 17.1 meV per atom
**Formation energy (no corrections)**: -1.23 eV/atom

Unit cell a=4.2812 b=4.2812 c=30.0582 alpha=90.00 beta=90.00 gamma=90.00
Space group I4/mmm (No. 139)
Unique sites:
Er  0.0000  0.0000  0.0000 [2 per cell]
Er  0.0000  0.0000  0.2011 [4 per cell]
Er  0.0000  0.0000  0.4076 [4 per cell]
Sb  0.0000  0.0000  0.0986 [4 per cell]
Sb  0.0000  0.0000  0.3034 [4 per cell]
S  0.0000  0.0000  0.5000 [2 per cell]

---

Record 9
VASP calculation (PBE) on a geometry-optimized ReP2Se structure.

**Formation energy (no corrections)**: 0.09 eV/atom

Unit cell a=7.3762 b=2.8534 c=7.7194 alpha=90.00 beta=109.94 gamma=90.00
Space group C2/m (No. 12)
Unique sites:
Re  0.0000  0.0000  0.0000 [2 per cell]
P  0.1493  0.5000  0.8360 [4 per cell]
Se  0.0000  0.5000  0.5000 [2 per cell]

---

Record 10
VASP calculation (PBE) on a geometry-optimized Hf2CuI structure.

**Energy above the most stable polymorph in this dataset**: 0.0 meV per atom
**Formation energy (no corrections)**: 0.28 eV/atom

Unit cell a=6.8524 b=6.8524 c=6.8524 alpha=90.00 beta=90.00 gamma=90.00
Space group Fm-3m (No. 225)
Unique sites:
Hf  0.2500  0.2500  0.2500 [8 per cell]
Cu  0.0000  0.0000  0.0000 [4 per cell]
I  0.0000  0.0000  0.5000 [4 per cell]

---

Record 11
VASP calculation (PBE) on a geometry-optimized KPt3 structure.

**Formation energy from the elements**: 0.306 eV/atom
**Energy above the most stable polymorph in this dataset**: 456.7 meV per atom

Unit cell a=5.1331 b=5.1331 c=2.7443 alpha=90.00 beta=90.00 gamma=90.00
Space group P4/mmm (No. 123)
Unique sites:
K  0.0000  0.0000  0.0000 [1 per cell]
Pt  0.0000  0.5000  0.5000 [2 per cell]
Pt  0.5000  0.5000  0.0000 [1 per cell]

---

Record 12
VASP calculation (PBE) on a geometry-optimized NbP2CCl structure.

**Energy above the most stable polymorph in this dataset**: 474.6 meV per atom
**Formation energy (no corrections)**: 1.47 eV/atom

Unit cell a=4.8607 b=4.8607 c=4.8199 alpha=90.00 beta=90.00 gamma=90.00
Space group P4/mmm (No. 123)
Unique sites:
Nb  0.0000  0.0000  0.0000 [1 per cell]
P  0.0000  0.5000  0.0000 [2 per cell]
C  0.5000  0.5000  0.5000 [1 per cell]
Cl  0.0000  0.0000  0.5000 [1 per cell]

---

We obtain Fermi-level density of states values of 9.632 8.554 57.661 0.141 2.368 3.640 5.016 3.837 4.670 9.963 2.965 4.028 states/eV/cell for the records listed above, in that order.
We obtain calculated volume values of 20.4 16.8 30.6 37.4 35.9 23.4 20.7 27.5 19.1 20.1 18.1 22.8 Å³/atom for the records listed above, in that order.